LiGa6Tc after structural relaxation, computed with PBE.

The structure in CIF format:
```
data_LiGa6Tc
_cell_length_a 8.5277
_cell_length_b 8.5277
_cell_length_c 7.6746
_cell_angle_alpha 90.00
_cell_angle_beta 90.00
_cell_angle_gamma 120.00
_symmetry_space_group_name_H-M 'R -3 m'
_symmetry_Int_Tables_number 166
_symmetry_space_group_name_Hall '-R 3 2"'
loop_
_atom_site_label
_atom_site_type_symbol
_atom_site_fract_x
_atom_site_fract_y
_atom_site_fract_z
Li1 Li 0.0000 0.0000 0.0000
Ga1 Ga 0.0573 0.5287 0.3374
Tc1 Tc 0.0000 0.0000 0.5000
```

Properties
For the total magnetic moment, the calculation gives 0.00 μB/f.u. The value obtained for the energy relative to the elements is 0.028 eV/atom.

Tb2HoF8 after structural relaxation, computed with PBE.

The structure in CIF format:
```
data_Tb2HoF8
_cell_length_a 7.0181
_cell_length_b 10.3053
_cell_length_c 4.3646
_cell_angle_alpha 90.00
_cell_angle_beta 112.57
_cell_angle_gamma 90.00
_symmetry_space_group_name_H-M 'C 1 2/m 1'
_symmetry_Int_Tables_number 12
loop_
_symmetry_equiv_pos_as_xyz
'x,y,z'
'-x,-y,-z'
'-x,y,-z'
'x,-y,z'
'x+1/2,y+1/2,z'
'-x+1/2,-y+1/2,-z'
'-x+1/2,y+1/2,-z'
'x+1/2,-y+1/2,z'
loop_
_atom_site_label
_atom_site_type_symbol
_atom_site_fract_x
_atom_site_fract_y
_atom_site_fract_z
Tb1 Tb 0.0000 0.1845 0.0000
Ho1 Ho 0.0000 0.5000 0.5000
F1 F 0.0000 0.2535 0.5000
F2 F 0.1357 0.0000 0.3183
F3 F 0.1840 0.3749 0.0156
```

Properties
For the total magnetic moment, the calculation gives 0.65 μB/f.u. The calculation puts the raw total energy at -6.41 eV/atom.

Au2CF after structural relaxation, computed with PBE.

The structure in CIF format:
```
data_Au2CF
_cell_length_a 5.7029
_cell_length_b 5.7029
_cell_length_c 8.2189
_cell_angle_alpha 90.00
_cell_angle_beta 90.00
_cell_angle_gamma 90.00
_symmetry_space_group_name_H-M 'I -4 2 d'
_symmetry_Int_Tables_number 122
_symmetry_space_group_name_Hall 'I -4 2bw'
loop_
_atom_site_label
_atom_site_type_symbol
_atom_site_fract_x
_atom_site_fract_y
_atom_site_fract_z
Au1 Au 0.1823 0.2500 0.1250
C1 C 0.0000 0.0000 0.0000
F1 F 0.0000 0.0000 0.5000
```

Properties
For the total magnetic moment, the calculation gives 0.00 μB/f.u. The calculation puts the energy above the most stable polymorph in this dataset at 0.00 eV per formula unit.

Ta2FeSb after structural relaxation, computed with PBE.

The structure in CIF format:
```
data_Ta2FeSb
_cell_length_a 3.9256
_cell_length_b 4.6319
_cell_length_c 7.6611
_cell_angle_alpha 90.00
_cell_angle_beta 90.00
_cell_angle_gamma 90.00
_symmetry_space_group_name_H-M 'C m m m'
_symmetry_Int_Tables_number 65
_symmetry_space_group_name_Hall '-C 2 2'
loop_
_atom_site_label
_atom_site_type_symbol
_atom_site_fract_x
_atom_site_fract_y
_atom_site_fract_z
Ta1 Ta 0.0000 0.0000 0.2079
Fe1 Fe 0.0000 0.5000 0.0000
Sb1 Sb 0.0000 0.5000 0.5000
```

Properties
For the total magnetic moment, the calculation gives 0.76 μB/f.u. The calculation puts the raw total energy at -8.92 eV/atom.

TlAsAu2 after structural relaxation, computed with PBE.

The structure in CIF format:
```
data_TlAsAu2
_cell_length_a 4.3137
_cell_length_b 4.3137
_cell_length_c 8.9078
_cell_angle_alpha 90.00
_cell_angle_beta 90.00
_cell_angle_gamma 90.00
_symmetry_space_group_name_H-M 'I -4 m 2'
_symmetry_Int_Tables_number 119
_symmetry_space_group_name_Hall 'I -4 -2'
loop_
_atom_site_label
_atom_site_type_symbol
_atom_site_fract_x
_atom_site_fract_y
_atom_site_fract_z
Tl1 Tl 0.0000 0.0000 0.0000
As1 As 0.0000 0.5000 0.7500
Au1 Au 0.0000 0.0000 0.5000
Au2 Au 0.0000 0.5000 0.2500
```

Properties
For the total magnetic moment, the calculation gives 0.00 μB/f.u. The value obtained for the energy relative to the elements is 0.240 eV/atom.

Ni4Ge2Rh after structural relaxation, computed with PBE.

The structure in CIF format:
```
data_Ni4Ge2Rh
_cell_length_a 6.8877
_cell_length_b 6.8877
_cell_length_c 3.7681
_cell_angle_alpha 90.00
_cell_angle_beta 90.00
_cell_angle_gamma 90.00
_symmetry_space_group_name_H-M 'P 42/m n m'
_symmetry_Int_Tables_number 136
_symmetry_space_group_name_Hall '-P 4n 2n'
loop_
_atom_site_label
_atom_site_type_symbol
_atom_site_fract_x
_atom_site_fract_y
_atom_site_fract_z
Ni1 Ni 0.0996 0.3530 0.0000
Ge1 Ge 0.2026 0.7974 0.0000
Rh1 Rh 0.0000 0.0000 0.5000
```

Properties
For the total magnetic moment, the calculation gives 0.00 μB/f.u. The value obtained for the energy relative to the elements is -0.209 eV/atom.